The following is a PBEsol calculation of a relaxed structure of Hg3SbI, from Alexandria via LeMat-Bulk.

a = 5.531 Å, b = 5.531 Å, c = 5.531 Å
α = 90.00°, β = 90.00°, γ = 90.00°
Element x y z (fractional)
I: 0.500 0.500 0.500
Sb: 0.000 0.000 0.000
Hg: 0.000 0.500 0.000
Hg: 0.000 0.000 0.500
Hg: 0.500 0.000 0.000

DOS(E_F), states/eV per atom: 0.401
Total moment, μB per atom: 0.000
VASP energy, eV/atom: -1.596
Space group: Pm-3m, No. 221